Entry 1:
Density functional theory data (GGA-PBE) for an optimized crystal structure of GeP2Rh2.

The calculation puts the total energy at -6.38 eV/atom. The calculation puts the density of states at the Fermi level at 1.81 states/eV/f.u.

The structure belongs to space group I4/mmm (No. 139); the cell edges are 4.087, 4.087 and 9.244 Å and the angles 90.00°, 90.00° and 90.00°. The distinct sites, in fractional coordinates, are Ge at (0.000, 0.000, 0.000), P at (0.000, 0.000, 0.382) and Rh at (0.000, 0.500, 0.250).

---

Entry 2:
Density functional theory data (GGA-PBE) for an optimized crystal structure of KBe2Cr.

The calculation puts the total energy at -3.30 eV/atom. The calculation puts the density of states at the Fermi level at 2.24 states/eV/f.u.

The structure belongs to space group Immm (No. 71); the cell edges are 2.875, 5.541 and 9.924 Å and the angles 90.00°, 90.00° and 90.00°. The distinct sites, in fractional coordinates, are K at (0.000, 0.000, 0.000), Be at (0.000, 0.500, 0.194) and Cr at (0.000, 0.000, 0.500).

---

Calculated values (meV/atom) of polymorph energy (0 for the lowest one) for the records, taken in order: 0, 642.
Calculated values (eV per atom) of DFT formation energy for the records, taken in order: -0.35, 1.24.